AlRuN2 after structural relaxation, computed with PBE.

a = 4.597 Å, b = 4.597 Å, c = 5.392 Å
α = 64.77°, β = 64.77°, γ = 90.00°
Positions (direct):
Ru1 0.750 0.250 0.500
Ru2 0.000 0.000 0.000
N1 0.602 0.125 0.250
N2 0.375 0.398 0.750
N3 0.148 0.625 0.250
N4 0.875 0.852 0.750
Al1 0.250 0.750 0.500
Al2 0.500 0.500 0.000

DOS(E_F) = 3.502 states/eV/cell
raw formation energy = -245.2 meV per atom